## LaSb2IN (GGA-PBE)

Data for an optimized crystal structure of LaSb2IN.

## Properties
space-group type: P4/mmm, No. 123
raw formation energy: 0.03 eV/atom
E: -22.9 eV/f.u.

Cell: 4.819 4.819 5.249 Å, 90.00 90.00 90.00°
Fractional positions:
La: 0.000 0.000 0.000
Sb: 0.000 0.500 0.500
Sb: 0.500 0.000 0.500
I: 0.500 0.500 0.000
N: 0.500 0.500 0.500

***

## TmTiTc (GGA-PBE)

Data for an optimized crystal structure of TmTiTc.

## Properties
space-group type: R-3m, No. 166
E: -22.9 eV/f.u.
ΔE_f: -0.21 eV/f.u.

Cell: 7.986 7.986 7.986 Å, 32.00 32.00 32.00°
Fractional positions:
Tm: 0.215 0.215 0.215
Tm: 0.785 0.785 0.785
Ti: 0.367 0.367 0.367
Ti: 0.633 0.633 0.633
Tc: 0.054 0.054 0.054
Tc: 0.946 0.946 0.946